BaLi2Ga3 | PBE | optimized geometry

Structure (extended XYZ):
```
12
Lattice="-1.1416 1.5577 -4.8638 -3.9142 -5.8865 -0.9665 -4.8326 4.5625 2.5954" Properties=species:S:1:pos:R:3 pbc="T T T"
Ba -3.1607 -0.0458 -0.6805
Ba -6.7277 0.2795 -2.5544
Li -4.6753 -2.9429 -2.6605
Li -4.1045 -3.7218 -0.2286
Li -4.6424 2.3977 1.8575
Li -5.2131 3.1766 -0.5744
Ga -3.0222 -1.1956 -3.8965
Ga -3.3754 2.8229 -2.5267
Ga -6.8662 1.4292 0.6616
Ga -1.5265 1.0668 -3.5230
Ga -8.3619 -0.8332 0.2881
Ga -6.5130 -2.5893 -0.7082
```

* crystal system: orthorhombic
* uncorrected energy: -2.8306 eV/atom

=====

Y2FeNi | PBE | optimized geometry

Structure (extended XYZ):
```
8
Lattice="-0.8657 -3.8769 -2.1430 3.3466 -2.0030 2.2718 -4.2290 -5.1132 6.2054" Properties=species:S:1:pos:R:3 pbc="T T T"
Y -1.1753 -3.9310 0.5074
Y 0.9215 -3.0356 2.6918
Y -2.2235 -6.0506 4.7145
Y -1.0189 -8.9691 4.7545
Ni 0.0000 0.0000 0.0000
Ni -1.9271 -5.9651 2.0634
Fe 1.2404 -2.9400 0.0644
Fe 0.1790 -5.0281 4.2708
```

* crystal system: tetragonal
* uncorrected energy: -6.0128 eV/atom

=====

YTl2NiBi | PBE | optimized geometry

Structure (extended XYZ):
```
5
Lattice="5.0290 0.0000 0.0000 0.0000 5.0290 0.0000 0.0000 0.0000 5.3336" Properties=species:S:1:pos:R:3 pbc="T T T"
Y 0.0000 0.0000 2.6668
Ni 0.0000 0.0000 0.0000
Tl 0.0000 2.5145 0.0000
Tl 2.5145 0.0000 0.0000
Bi 2.5145 2.5145 2.6668
```

* crystal system: tetragonal
* uncorrected energy: -4.3411 eV/atom

=====

CdCo2Ru | PBE | optimized geometry

Structure (extended XYZ):
```
4
Lattice="-0.1266 -0.3720 -2.6810 2.3306 -1.3798 0.0814 -3.7630 -6.2940 1.0510" Properties=species:S:1:pos:R:3 pbc="T T T"
Cd -1.7203 -5.5964 -0.5116
Co -0.1059 -0.1771 0.0296
Co -1.7756 -2.9699 0.4959
Ru 0.1612 -2.4494 -1.0371
```

* crystal system: tetragonal
* uncorrected energy: -5.8448 eV/atom

=====

Tb2GaTe4 | PBE | optimized geometry

Structure (extended XYZ):
```
7
Lattice="4.3152 0.0000 0.0000 0.0000 7.6881 -0.1355 -2.1576 -3.8753 7.0493" Properties=species:S:1:pos:R:3 pbc="T T T"
Tb 2.1576 3.9548 3.2947
Tb 0.0000 -0.1420 3.6190
Ga 0.0000 0.0000 0.0000
Te 2.1576 -1.3511 5.4062
Te 0.0000 5.1639 1.5075
Te 2.1576 1.2203 1.7797
Te 0.0000 2.5926 5.1340
```

* crystal system: monoclinic
* uncorrected energy: -4.5477 eV/atom
* formation energy without anion corrections: -997 meV/atom

=====

TaP2Br | PBE | optimized geometry

Structure (extended XYZ):
```
4
Lattice="3.1726 0.0000 0.0000 0.0000 4.3772 0.0000 0.0000 0.0000 4.8358" Properties=species:S:1:pos:R:3 pbc="T T T"
Br 0.0000 2.1886 2.4179
P 0.0000 0.0000 0.0000
P 1.5863 2.1886 0.0000
Ta 1.5863 0.0000 2.4179
```

* crystal system: orthorhombic
* uncorrected energy: -5.3997 eV/atom
* offset from the most stable computed form: 1046 meV/atom
* formation energy without anion corrections: 687 meV/atom

=====

- Which of these has the lowest uncorrected energy?
  Y2FeNi